Entry 1:
VASP calculation (PBE) on a geometry-optimized DyLuThAl structure.

Cell lengths 5.347, 5.347, 5.347 Å; angles 60.00, 60.00, 60.00 degrees
Atoms (fractional coordinates):
Dy 0.000 0.000 0.000
Th 0.500 0.500 0.500
Lu 0.750 0.750 0.750
Al 0.250 0.250 0.250

Properties
DFT total energy in eV per cell: -20.5

---

Entry 2:
VASP calculation (PBE) on a geometry-optimized LiAc2Au2 structure.

Cell lengths 4.233, 8.376, 8.376 Å; angles 90.00, 90.00, 90.00 degrees
Atoms (fractional coordinates):
Ac 0.000 0.833 0.833
Li 0.500 0.000 0.500
Au 0.500 0.133 0.867
Au 0.500 0.867 0.133
Ac 0.000 0.333 0.667
Au 0.500 0.367 0.367
Ac 0.000 0.167 0.167
Au 0.500 0.633 0.633
Li 0.500 0.500 0.000
Ac 0.000 0.667 0.333

Properties
DFT total energy in eV per cell: -39.9
E above lowest polymorph in meV per atom: 0

---

Energy of formation (computed, eV/atom): -0.04; -0.66